(1)
DFT (PBE) results for crystalline La3ZnCu2 at its relaxed geometry.

The value obtained for the energy relative to the lowest polymorph listed for this composition is 0 meV/atom.

It has space group P4/mmm (No. 123), with a = 3.700 Å, b = 3.700 Å, c = 11.053 Å, α = 90.00°, β = 90.00° and γ = 90.00°. The distinct sites, in fractional coordinates, are La at (0.000, 0.000, 0.000), La at (0.000, 0.000, 0.328), Zn at (0.500, 0.500, 0.500) and Cu at (0.500, 0.500, 0.164).


(2)
DFT (PBE) results for crystalline La3Zn2Cu7 at its relaxed geometry.

It has space group R-3m (No. 166, hexagonal axes), with a = 5.4307 Å, b = 5.4307 Å, c = 25.1256 Å, α = 90.00°, β = 90.00° and γ = 120.00°. The distinct sites, in fractional coordinates, are La at (0.0000, 0.0000, 0.0000), La at (0.0000, 0.0000, 0.1480), Zn at (0.0000, 0.0000, 0.3295), Cu at (0.0000, 0.0000, 0.5000) and Cu at (0.0125, 0.5062, 0.0808).


(3)
DFT (PBE) results for crystalline LaZn3Cu2 at its relaxed geometry.

It has space group C2/m (No. 12), with a = 15.741 Å, b = 4.142 Å, c = 7.467 Å, α = 90.00°, β = 116.03° and γ = 90.00°. The distinct sites, in fractional coordinates, are La at (0.147, 0.000, 0.067), Zn at (0.036, 0.000, 0.372), Zn at (0.098, 0.500, 0.678), Zn at (0.185, 0.500, 0.451), Cu at (0.019, 0.500, 0.175) and Cu at (0.194, 0.000, 0.680).


| no. | formation enthalpy at 0 K (kJ/mol of formula units) |
| --- | --- |
| 1 | -112 |
| 2 | -203 |
| 3 | -117 |